(1)
KLi2Sb PBE optimized geometry; energy = -20.908 eV/cell
1.0
-2.8222 2.8222 8.8259
2.8222 -2.8222 8.8259
2.8222 2.8222 -8.8259
K Li Sb
2 4 2
Direct
0.0000 0.0000 0.0000
0.7500 0.2500 0.5000
0.3717 0.6250 0.2467
0.3750 0.6217 0.7467
0.3783 0.1250 0.7533
0.8750 0.6283 0.2533
0.2500 0.7500 0.5000
0.5000 0.5000 0.0000

=====

(2)
KLiSb PBE optimized geometry; energy = -16.883 eV/cell
1.0
5.1287 -2.5912 0.0000
5.1287 2.5912 0.0000
-4.7838 0.0000 7.4733
K Li Sb
2 2 2
Direct
0.2388 0.2388 0.1580
0.7612 0.7612 0.8420
0.3395 0.3395 0.5915
0.6605 0.6605 0.4085
0.0111 0.0111 0.3414
0.9889 0.9889 0.6586

=====

(3)
KLi2Sb2 PBE optimized geometry; energy = -15.223 eV/cell
1.0
2.4222 -3.8795 0.0000
2.4222 3.8795 0.0000
0.0000 0.0000 7.7527
K Li Sb
1 2 2
Direct
0.0000 0.0000 0.0000
0.1673 0.8327 0.5000
0.8327 0.1673 0.5000
0.5000 0.5000 0.3185
0.5000 0.5000 0.6815

=====

(4)
K5LiSb2 PBE optimized geometry; energy = -38.242 eV/cell
1.0
6.0908 0.0000 0.0000
-3.0454 5.2748 0.0000
0.0000 0.0000 20.6219
K Li Sb
10 2 4
Direct
0.0000 0.0000 0.1360
0.0000 0.0000 0.3640
0.0000 0.0000 0.6360
0.0000 0.0000 0.8640
0.3333 0.6667 0.0511
0.3333 0.6667 0.2500
0.3333 0.6667 0.4489
0.6667 0.3333 0.5511
0.6667 0.3333 0.7500
0.6667 0.3333 0.9489
0.3333 0.6667 0.7500
0.6667 0.3333 0.2500
0.3333 0.6667 0.6228
0.3333 0.6667 0.8772
0.6667 0.3333 0.1228
0.6667 0.3333 0.3772

=====

(5)
KLi2Sb PBE optimized geometry; energy = -9.922 eV/cell
1.0
3.7200 0.0000 0.0000
0.0000 3.7200 0.0000
0.0000 0.0000 8.4598
K Li Sb
1 2 1
Direct
0.0000 0.0000 0.0000
0.0000 0.0000 0.5594
0.5000 0.5000 0.3685
0.5000 0.5000 0.7022

=====

(6)
KLiSb PBE optimized geometry; energy = -7.400 eV/cell
1.0
3.6720 0.0000 0.0000
-1.8360 3.1800 0.0000
0.0000 0.0000 8.3223
K Li Sb
1 1 1
Direct
0.0000 0.0000 0.0000
0.6667 0.3333 0.4247
0.3333 0.6667 0.6585

=====

(7)
KLiSb3 PBE optimized geometry; energy = -15.384 eV/cell
1.0
5.2393 0.0000 0.0000
0.0000 5.2393 0.0000
0.0000 0.0000 5.2393
K Li Sb
1 1 3
Direct
0.0000 0.0000 0.0000
0.5000 0.5000 0.5000
0.0000 0.5000 0.5000
0.5000 0.0000 0.5000
0.5000 0.5000 0.0000

=====

(8)
KLi2Sb PBE optimized geometry; energy = -10.123 eV/cell
1.0
3.6066 0.0000 0.0000
0.0000 4.7600 0.0000
-0.9361 0.0000 6.7834
K Li Sb
1 2 1
Direct
0.0000 0.0000 0.0000
0.2847 0.5000 0.6604
0.7153 0.5000 0.3396
0.5000 0.0000 0.5000

=====

(9)
KLi2Sb PBE optimized geometry; energy = -11.225 eV/cell
1.0
4.1675 -2.4057 0.0000
4.1675 2.4057 0.0000
-2.7055 0.0000 6.1570
K Li Sb
1 2 1
Direct
0.0000 0.0000 0.0000
0.1683 0.1683 0.5160
0.4767 0.4767 0.4391
0.8045 0.8045 0.4222

=====

(10)
KLiSb PBE optimized geometry; energy = -8.135 eV/cell
1.0
-1.9754 1.9754 6.0312
1.9754 -1.9754 6.0312
1.9754 1.9754 -6.0312
K Li Sb
1 1 1
Direct
0.0000 0.0000 0.0000
0.2642 0.2642 0.0000
0.7029 0.7029 0.0000

=====

(11)
KLi3Sb2 PBE optimized geometry; energy = -17.418 eV/cell
1.0
6.4135 0.0000 0.0000
-3.2068 5.5543 0.0000
0.0000 0.0000 4.4581
K Li Sb
1 3 2
Direct
0.0000 0.0000 0.0000
0.0000 0.5000 0.5000
0.5000 0.0000 0.5000
0.5000 0.5000 0.5000
0.3333 0.6667 0.0000
0.6667 0.3333 0.0000

=====

(12)
KLi3Sb PBE optimized geometry; energy = -8.428 eV/cell
1.0
5.1231 0.0000 0.0000
0.0000 5.1231 0.0000
0.0000 0.0000 5.1231
K Li Sb
1 3 1
Direct
0.0000 0.0000 0.0000
0.0000 0.0000 0.5000
0.0000 0.5000 0.0000
0.5000 0.0000 0.0000
0.5000 0.5000 0.5000

=====

The records above give, respectively, uncorrected formation energy values of -0.35; -0.44; -0.41; -0.43; -0.22; -0.09; 0.00; -0.27; -0.54; -0.33; -0.39; 0.51 eV/atom.